# RbHfCuS3 | OQMD | PBE | relaxed
# Electronic total energy ... -0.2122 hartree per atom
data_RbHfCuS3
_symmetry_space_group_name_H-M 'P 1 21/m 1'
_symmetry_Int_Tables_number 11
_symmetry_space_group_name_Hall '-P 2yb'
_cell_length_a 8.486
_cell_length_b 3.768
_cell_length_c 9.591
_cell_angle_alpha 90.00
_cell_angle_beta 113.59
_cell_angle_gamma 90.00
loop_
_atom_site_label
_atom_site_fract_x
_atom_site_fract_y
_atom_site_fract_z
Rb1 0.242 0.250 0.273
Hf1 0.313 0.750 0.837
Cu1 0.083 0.250 0.600
S1 0.116 0.250 0.852
S2 0.225 0.750 0.556
S3 0.465 0.750 0.136